[1]
This record from Alexandria describes K6NbAs3O after structural relaxation. The functional is PBEsol.

Output
VASP energy, eV/atom: -4.243

Structure (extended XYZ):
```
44
Lattice="10.973 0.000 0.000 0.000 10.973 0.000 0.000 0.000 10.973" Properties=species:S:1:pos:R:3 pbc="T T T"
K 0.387 3.099 9.516
K 1.458 5.874 2.388
K 1.467 6.954 9.506
K 1.710 1.710 1.710
K 2.011 8.963 3.476
K 2.388 1.458 5.874
K 3.099 9.516 0.387
K 3.476 2.011 8.963
K 3.776 9.263 7.197
K 4.019 4.019 4.019
K 4.029 5.100 7.875
K 5.100 7.875 4.029
K 5.874 2.388 1.458
K 6.944 10.587 8.585
K 6.954 9.506 1.467
K 7.197 3.776 9.263
K 7.498 7.498 7.498
K 7.875 4.029 5.100
K 8.585 6.944 10.587
K 8.963 3.476 2.011
K 9.263 7.197 3.776
K 9.506 1.467 6.954
K 9.516 0.387 3.099
K 10.587 8.585 6.944
Nb 0.791 4.696 6.278
Nb 4.696 6.278 0.791
Nb 6.278 0.791 4.696
Nb 10.182 10.182 10.182
As 0.230 3.326 4.255
As 1.231 10.744 8.813
As 2.160 6.718 5.716
As 3.326 4.255 0.230
As 4.255 0.230 3.326
As 5.257 7.647 9.742
As 5.716 2.160 6.718
As 6.718 5.716 2.160
As 7.647 9.742 5.257
As 8.813 1.231 10.744
As 9.742 5.257 7.647
As 10.744 8.813 1.231
O 1.860 3.627 7.347
O 3.627 7.347 1.860
O 7.347 1.860 3.627
O 9.113 9.113 9.113
```

=====

[2]
This record from Alexandria describes ScGa2FeHg after structural relaxation. The functional is PBEsol.

Output
E_form, kJ/mol of formula units: 484

Structure (extended XYZ):
```
5
Lattice="4.833 0.000 0.000 0.000 4.833 0.000 0.000 0.000 5.330" Properties=species:S:1:pos:R:3 pbc="T T T"
Sc 0.000 0.000 0.000
Ga 0.000 2.417 2.665
Ga 2.417 0.000 2.665
Fe 2.417 2.417 0.000
Hg 0.000 0.000 2.665
```

=====

[3]
This record from Alexandria describes GaSbOs3 after structural relaxation. The functional is PBEsol.

Output
VASP energy, eV/atom: -6.334

Structure (extended XYZ):
```
5
Lattice="4.758 0.000 0.000 0.000 4.758 0.000 0.000 0.000 4.758" Properties=species:S:1:pos:R:3 pbc="T T T"
Ga 0.000 0.000 0.000
Sb 2.379 2.379 2.379
Os 0.000 2.379 2.379
Os 2.379 0.000 2.379
Os 2.379 2.379 0.000
```

=====

[4]
This record from Alexandria describes Cs2ZnO2 after structural relaxation. The functional is PBEsol.

Output
VASP energy, eV/atom: -4.095

Structure (extended XYZ):
```
40
Lattice="9.791 0.000 0.000 0.000 6.552 0.000 -7.614 0.000 14.448" Properties=species:S:1:pos:R:3 pbc="T T T"
Cs -0.226 0.490 1.740
Cs -4.033 2.786 8.964
Cs -0.222 3.862 3.748
Cs -4.029 5.965 10.972
Cs -0.507 4.424 7.572
Cs 3.299 5.404 0.348
Cs -0.888 0.902 9.558
Cs 2.919 2.374 2.334
Cs -0.741 4.178 12.114
Cs 3.066 5.650 4.890
Cs -1.122 1.148 14.100
Cs 2.685 2.128 6.876
Cs 6.207 0.586 3.476
Cs 2.400 2.689 10.700
Cs 6.211 3.766 5.484
Cs 2.404 6.062 12.708
Zn -2.667 0.364 6.642
Zn -6.474 2.912 13.866
Zn -0.337 0.862 5.359
Zn -4.144 2.414 12.583
Zn 6.321 4.138 1.865
Zn 2.515 5.690 9.089
Zn 8.652 3.640 0.582
Zn 4.845 6.188 7.806
O -5.405 3.873 12.429
O -1.598 5.955 5.205
O 0.767 4.066 1.012
O -3.040 5.762 8.236
O -5.108 1.455 13.982
O -1.301 1.821 6.758
O 1.176 1.248 4.383
O -2.631 2.028 11.607
O 4.809 4.524 2.841
O 1.002 5.304 10.065
O 3.479 4.731 7.690
O 7.285 5.097 0.466
O 5.218 0.790 6.212
O 1.411 2.486 13.436
O 3.776 0.597 9.243
O 7.583 2.679 2.019
```

=====

[5]
This record from Alexandria describes HgWSe after structural relaxation. The functional is PBEsol.

Output
VASP energy, eV/atom: -4.345

Structure (extended XYZ):
```
12
Lattice="6.533 0.000 0.000 0.000 6.533 0.000 0.000 0.000 6.533" Properties=species:S:1:pos:R:3 pbc="T T T"
Hg 0.000 0.000 0.000
Hg 0.000 3.267 3.267
Hg 3.267 0.000 3.267
Hg 3.267 3.267 0.000
W 1.633 1.633 1.633
W 1.633 4.900 4.900
W 4.900 1.633 4.900
W 4.900 4.900 1.633
Se 1.633 1.633 4.900
Se 1.633 4.900 1.633
Se 4.900 1.633 1.633
Se 4.900 4.900 4.900
```

=====

[6]
This record from Alexandria describes AlRe3Pt after structural relaxation. The functional is PBEsol.

Output
E_form, kJ/mol of formula units: 1197

Structure (extended XYZ):
```
5
Lattice="4.681 0.000 0.000 0.000 4.681 0.000 0.000 0.000 4.681" Properties=species:S:1:pos:R:3 pbc="T T T"
Al 0.000 0.000 0.000
Re 0.000 2.341 2.341
Re 2.341 0.000 2.341
Re 2.341 2.341 0.000
Pt 2.341 2.341 2.341
```

=====

[7]
This record from Alexandria describes KCrPO2 after structural relaxation. The functional is PBEsol.

Output
VASP energy, eV/atom: -4.082

Structure (extended XYZ):
```
5
Lattice="4.265 0.000 0.000 0.000 4.265 0.000 0.000 0.000 5.776" Properties=species:S:1:pos:R:3 pbc="T T T"
K 0.000 0.000 0.000
Cr 2.133 2.133 2.888
P 0.000 0.000 2.888
O 0.000 2.133 0.000
O 2.133 0.000 0.000
```

=====

[8]
This record from Alexandria describes PmPbAu2 after structural relaxation. The functional is PBEsol.

Output
E_form, kJ/mol of formula units: -235

Structure (extended XYZ):
```
16
Lattice="7.105 0.000 0.000 0.000 7.105 0.000 0.000 0.000 7.105" Properties=species:S:1:pos:R:3 pbc="T T T"
Pm 0.000 0.000 0.000
Pm 0.000 3.552 3.552
Pm 3.552 0.000 3.552
Pm 3.552 3.552 0.000
Pb 0.000 0.000 3.552
Pb 0.000 3.552 0.000
Pb 3.552 0.000 0.000
Pb 3.552 3.552 3.552
Au 1.776 1.776 1.776
Au 1.776 1.776 5.329
Au 1.776 5.329 1.776
Au 1.776 5.329 5.329
Au 5.329 1.776 1.776
Au 5.329 1.776 5.329
Au 5.329 5.329 1.776
Au 5.329 5.329 5.329
```

=====

[9]
This record from Alexandria describes KLaGa2 after structural relaxation. The functional is PBEsol.

Output
E_form, kJ/mol of formula units: -36

Structure (extended XYZ):
```
16
Lattice="7.534 0.000 0.000 0.000 7.534 0.000 0.000 0.000 7.534" Properties=species:S:1:pos:R:3 pbc="T T T"
K 0.000 0.000 0.000
K 0.000 3.767 3.767
K 3.767 0.000 3.767
K 3.767 3.767 0.000
La 0.000 0.000 3.767
La 0.000 3.767 0.000
La 3.767 0.000 0.000
La 3.767 3.767 3.767
Ga 1.884 1.884 1.884
Ga 1.884 1.884 5.651
Ga 1.884 5.651 1.884
Ga 1.884 5.651 5.651
Ga 5.651 1.884 1.884
Ga 5.651 1.884 5.651
Ga 5.651 5.651 1.884
Ga 5.651 5.651 5.651
```

=====

[10]
This record from Alexandria describes MgScHg2 after structural relaxation. The functional is PBEsol.

Output
E_form, kJ/mol of formula units: -131

Structure (extended XYZ):
```
8
Lattice="10.466 0.000 0.000 0.000 3.351 0.000 -1.334 0.000 4.807" Properties=species:S:1:pos:R:3 pbc="T T T"
Mg 0.000 0.000 0.000
Mg 5.233 1.676 0.000
Sc 2.353 1.676 1.713
Sc 7.586 0.000 1.713
Hg -0.547 1.676 2.427
Hg 1.496 0.000 4.124
Hg 4.686 0.000 2.427
Hg 6.729 1.676 4.124
```

=====

[11]
This record from Alexandria describes ZnInPb after structural relaxation. The functional is PBEsol.

Output
E_form, kJ/mol of formula units: 40

Structure (extended XYZ):
```
3
Lattice="4.775 0.000 0.000 -2.388 4.135 0.000 0.000 0.000 3.634" Properties=species:S:1:pos:R:3 pbc="T T T"
Zn 0.000 0.000 0.000
In 0.000 2.757 0.138
Pb 2.388 1.378 1.921
```

=====

[12]
This record from Alexandria describes CsKTeH6SO10 after structural relaxation. The functional is PBEsol.

Output
VASP energy, eV/atom: -5.465

Structure (extended XYZ):
```
80
Lattice="12.521 0.000 0.000 0.000 6.620 0.000 -8.836 0.000 12.024" Properties=species:S:1:pos:R:3 pbc="T T T"
Cs -1.202 1.475 1.647
Cs -5.619 1.834 7.659
Cs 9.305 4.785 4.365
Cs 4.887 5.144 10.377
K 2.794 1.343 4.172
K -1.624 1.967 10.184
K 5.310 4.653 1.840
K 0.892 5.276 7.852
Te -0.973 1.639 6.204
Te 3.445 1.671 0.192
Te 0.241 4.949 11.832
Te 4.659 4.981 5.820
H -3.221 1.594 5.156
H -7.639 1.716 11.167
H -4.672 3.371 10.538
H -0.254 6.559 4.526
H -4.455 0.166 10.423
H -0.037 3.144 4.411
H -1.681 3.774 7.351
H 2.737 6.155 1.339
H 2.625 3.471 1.671
H -1.793 6.459 7.683
H 2.304 4.633 4.963
H -2.114 5.296 10.975
H 5.800 1.323 1.049
H 1.382 1.987 7.061
H 5.478 0.161 4.341
H 1.060 3.149 10.353
H 0.949 0.464 10.684
H 5.367 2.846 4.672
H 3.723 3.476 7.612
H 8.141 6.454 1.600
H 3.939 0.061 7.498
H 8.357 3.249 1.486
H 11.324 4.903 0.856
H 6.906 5.026 6.868
S 0.789 4.960 2.762
S -3.629 4.970 8.774
S 7.314 1.650 3.250
S 2.896 1.660 9.262
O -0.581 4.603 2.330
O -4.999 5.326 8.342
O 1.516 1.526 0.089
O -2.902 1.783 6.101
O -5.319 0.681 10.552
O -0.901 2.629 4.540
O -5.412 3.341 11.234
O -0.994 6.589 5.222
O 1.733 4.866 1.604
O -2.685 5.064 7.616
O -3.600 3.586 9.308
O 0.818 6.344 3.296
O 1.239 3.999 3.822
O -3.179 5.931 9.833
O 3.581 0.095 1.303
O -0.837 3.215 7.315
O -1.154 0.608 7.838
O 3.264 2.702 1.826
O 0.965 1.517 6.267
O 5.383 1.792 0.256
O -1.698 4.827 11.768
O 2.720 5.102 5.756
O 0.421 3.918 10.198
O 4.839 6.012 4.186
O 4.522 3.405 4.709
O 0.104 6.525 10.721
O 6.864 0.689 2.190
O 2.446 2.621 8.202
O 2.868 0.276 8.728
O 7.286 3.034 2.716
O 6.371 1.556 4.408
O 1.953 1.754 10.420
O 4.680 0.031 6.802
O 9.098 3.279 0.790
O 4.586 3.991 7.484
O 9.004 5.939 1.472
O 6.588 4.836 5.923
O 2.170 5.093 11.935
O 8.684 1.294 3.682
O 4.266 2.016 9.694
```

=====

[13]
This record from Alexandria describes AlBiBr6 after structural relaxation. The functional is PBEsol.

Output
VASP energy, eV/atom: -3.327

Structure (extended XYZ):
```
16
Lattice="7.767 0.000 0.000 -1.218 7.706 0.000 -2.437 -2.450 9.027" Properties=species:S:1:pos:R:3 pbc="T T T"
Al 0.235 1.336 3.136
Al 3.877 3.920 5.891
Bi -0.136 1.793 7.140
Bi 4.247 3.463 1.887
Br -2.142 0.229 7.700
Br -1.954 4.298 7.151
Br 0.387 -0.213 4.882
Br 0.136 3.366 4.214
Br 2.014 1.054 1.703
Br 2.270 5.167 0.817
Br 1.841 0.089 8.210
Br 2.097 4.201 7.325
Br 3.976 1.890 4.813
Br 3.724 5.469 4.145
Br 6.065 0.958 1.876
Br 6.254 5.027 1.328
```

=====

[14]
This record from Alexandria describes ZrTlP2S after structural relaxation. The functional is PBEsol.

Output
VASP energy, eV/atom: -4.544

Structure (extended XYZ):
```
5
Lattice="4.866 0.000 0.000 0.000 4.866 0.000 0.000 0.000 4.907" Properties=species:S:1:pos:R:3 pbc="T T T"
Zr 0.000 0.000 0.000
Tl 2.433 2.433 2.454
P 0.000 2.433 2.454
P 2.433 0.000 2.454
S 2.433 2.433 0.000
```

=====

[15]
This record from Alexandria describes CuTeMo2 after structural relaxation. The functional is PBEsol.

Output
VASP energy, eV/atom: -7.443

Structure (extended XYZ):
```
8
Lattice="3.441 0.000 0.000 0.000 4.358 0.000 0.000 0.000 8.386" Properties=species:S:1:pos:R:3 pbc="T T T"
Cu 0.000 0.000 0.000
Cu 1.720 2.179 4.193
Te 0.000 2.179 2.159
Te 1.720 0.000 6.352
Mo 0.000 0.000 4.195
Mo 0.000 2.179 6.335
Mo 1.720 0.000 2.142
Mo 1.720 2.179 0.002
```

=====

[16]
This record from Alexandria describes LaCrSe2Br after structural relaxation. The functional is PBEsol.

Output
VASP energy, eV/atom: -5.195

Structure (extended XYZ):
```
5
Lattice="5.677 0.000 0.000 0.000 5.677 0.000 0.000 0.000 5.648" Properties=species:S:1:pos:R:3 pbc="T T T"
La 0.000 0.000 0.000
Cr 2.838 2.838 2.824
Se 0.000 2.838 0.000
Se 2.838 0.000 0.000
Br 0.000 0.000 2.824
```

=====

[17]
This record from Alexandria describes Rb2NaHoF6 after structural relaxation. The functional is PBEsol.

Output
VASP energy, eV/atom: -5.346

Structure (extended XYZ):
```
10
Lattice="0.000 4.399 4.399 4.399 0.000 4.399 4.399 4.399 0.000" Properties=species:S:1:pos:R:3 pbc="T T T"
Rb 2.200 2.200 2.200
Rb 6.599 6.599 6.599
Na 0.000 0.000 0.000
Ho 4.399 4.399 4.399
F 4.399 4.399 2.258
F 4.399 2.258 4.399
F 6.541 4.399 4.399
F 2.258 4.399 4.399
F 4.399 6.541 4.399
F 4.399 4.399 6.541
```

=====

[18]
This record from Alexandria describes LaCo2As after structural relaxation. The functional is PBEsol.

Output
E_form, kJ/mol of formula units: -196

Structure (extended XYZ):
```
12
Lattice="3.981 0.000 0.000 -1.990 3.447 0.000 0.000 0.000 15.290" Properties=species:S:1:pos:R:3 pbc="T T T"
La 0.000 0.000 0.000
La 0.000 2.298 10.193
La 1.990 1.149 5.097
Co 0.000 0.000 3.045
Co 0.000 0.000 7.871
Co 0.000 2.298 2.774
Co 0.000 2.298 13.238
Co 1.990 1.149 8.141
Co 1.990 1.149 12.967
As 0.000 0.000 12.231
As 0.000 2.298 7.134
As 1.990 1.149 2.037
```

=====

[19]
This record from Alexandria describes K2MgHgC after structural relaxation. The functional is PBEsol.

Output
E_form, kJ/mol of formula units: 272

Structure (extended XYZ):
```
5
Lattice="5.946 0.000 0.000 0.000 5.946 0.000 0.000 0.000 4.173" Properties=species:S:1:pos:R:3 pbc="T T T"
K 0.000 2.973 0.000
K 2.973 0.000 0.000
Mg 0.000 0.000 2.086
Hg 2.973 2.973 2.086
C 0.000 0.000 0.000
```

=====

[20]
This record from Alexandria describes Al2InBiPb after structural relaxation. The functional is PBEsol.

Output
E_form, kJ/mol of formula units: 366

Structure (extended XYZ):
```
5
Lattice="5.280 0.000 0.000 0.000 5.280 0.000 0.000 0.000 5.574" Properties=species:S:1:pos:R:3 pbc="T T T"
Al 0.000 2.640 0.000
Al 2.640 0.000 0.000
In 0.000 0.000 2.787
Bi 2.640 2.640 2.787
Pb 0.000 0.000 0.000
```

=====

V per entry: 1321.4, 124.5, 107.7, 926.9, 278.8, 102.6, 105.1, 358.6, 427.7, 168.6, 71.8, 996.6, 540.2, 116.2, 125.7, 182.0, 170.3, 209.8, 147.5, 155.4 Å³ per cell
Total magnetic moment per entry: 0.0, 2.8, 0.7, 0.0, 13.3, 0.0, 5.5, 0.0, 0.0, 0.0, 0.0, 0.0, 0.0, 0.0, 0.0, 4.3, 0.0, 4.5, 0.0, 0.0 μB/cell